Entry 1:
VASP calculation (PBE-GGA) on an optimized crystal structure of SmTm3Mg6.

a b c (Å): 9.2107 5.2638 11.2197
angles (deg): 90.00 105.91 90.00
Last column: nearest neighbours and their distance in Å.
Positions (direct):
Sm  0.0533  0.2500  0.3962  8 Mg 3.21-3.34
Sm  0.9467  0.7500  0.6038  8 Mg 3.21-3.34
Tm  0.2523  0.2500  0.9970  8 Mg 3.18-3.28
Tm  0.3516  0.7500  0.7992  8 Mg 3.23-3.32
Tm  0.4544  0.2500  0.6028  8 Mg 3.19-3.33
Tm  0.5456  0.7500  0.3972  8 Mg 3.19-3.33
Tm  0.6484  0.2500  0.2008  8 Mg 3.23-3.32
Tm  0.7477  0.7500  0.0031  8 Mg 3.18-3.28
Mg  0.0490  0.7500  0.9051  3 Mg 3.14-3.22, 4 Tm 3.23-3.32, 1 Sm 3.25
Mg  0.1471  0.7500  0.1962  8 Mg 3.14-3.23
Mg  0.1479  0.2500  0.7025  4 Tm 3.18-3.31, 1 Mg 3.22, 3 Sm 3.23-3.31
Mg  0.2499  0.7500  0.4953  4 Tm 3.21-3.28, 3 Sm 3.22-3.34, 1 Mg 3.23
Mg  0.3462  0.2500  0.2940  5 Tm 3.21-3.33, 1 Sm 3.21, 2 Mg 3.22
Mg  0.4440  0.7500  0.1014  7 Tm 3.19-3.28, 1 Mg 3.19
Mg  0.5560  0.2500  0.8986  7 Tm 3.19-3.28, 1 Mg 3.19
Mg  0.6538  0.7500  0.7060  5 Tm 3.21-3.33, 1 Sm 3.21, 2 Mg 3.22
Mg  0.7501  0.2500  0.5047  4 Tm 3.21-3.28, 3 Sm 3.22-3.34, 1 Mg 3.23
Mg  0.8521  0.7500  0.2975  4 Tm 3.18-3.31, 1 Mg 3.22, 3 Sm 3.23-3.31
Mg  0.8529  0.2500  0.8038  8 Mg 3.14-3.23
Mg  0.9510  0.2500  0.0949  3 Mg 3.14-3.22, 4 Tm 3.23-3.32, 1 Sm 3.25

SG: P2_1/m
DFT formation energy: -0.055 eV/atom
calculated total energy: -2.8253 eV/atom

---

Entry 2:
VASP calculation (PBE-GGA) on an optimized crystal structure of TmPaInO6.

a b c (Å): 5.5885 5.5885 4.7883
angles (deg): 90.00 90.00 120.00
Last column: nearest neighbours and their distance in Å.
Positions (direct):
Tm  0.0000  0.0000  0.0000  6 O 2.24
Pa  0.6667  0.3333  0.5000  6 O 2.19
In  0.3333  0.6667  0.0000  6 O 2.20
O  0.3444  0.0062  0.2435  1 Pa 2.19, 1 In 2.20, 1 Tm 2.24
O  0.3444  0.3382  0.7565  1 Pa 2.19, 1 In 2.20, 1 Tm 2.24
O  0.6618  0.0062  0.7565  1 Pa 2.19, 1 In 2.20, 1 Tm 2.24
O  0.6618  0.6556  0.2435  1 Pa 2.19, 1 In 2.20, 1 Tm 2.24
O  0.9938  0.3382  0.2435  1 Pa 2.19, 1 In 2.20, 1 Tm 2.24
O  0.9938  0.6556  0.7565  1 Pa 2.19, 1 In 2.20, 1 Tm 2.24

SG: P312
formation energy (no corrections): -2.68 eV/atom
calculated total energy: -7.8458 eV/atom

---

Entry 3:
VASP calculation (PBE-GGA) on an optimized crystal structure of AcCl5.

a b c (Å): 4.5738 5.7750 9.3817
angles (deg): 90.00 100.75 90.00
Last column: nearest neighbours and their distance in Å.
Positions (direct):
Ac  0.0000  0.0000  0.0000  6 Cl 2.89-2.92
Cl  0.0017  0.5000  0.0003  2 Ac 2.89
Cl  0.1734  0.5000  0.4610  1 Cl 2.02
Cl  0.4248  0.0000  0.8038  2 Ac 2.91-2.92
Cl  0.5751  0.0000  0.1961  2 Ac 2.91-2.92
Cl  0.7867  0.5000  0.5357  1 Cl 2.02

SG: Pm
formation energy (no corrections): -1.57 eV/atom
calculated total energy: -3.7925 eV/atom

---

Entry 4:
VASP calculation (PBE-GGA) on an optimized crystal structure of RbHg12.

a b c (Å): 9.2042 9.2042 9.2042
angles (deg): 60.00 60.00 60.00
Last column: nearest neighbours and their distance in Å.
Positions (direct):
Rb  0.0000  0.0000  0.0000  24 Hg 4.84
Hg  0.1613  0.5000  0.5000  5 Hg 2.97-3.12
Hg  0.1613  0.5000  0.8387  5 Hg 2.97-3.12
Hg  0.1613  0.8387  0.5000  5 Hg 2.97-3.12
Hg  0.5000  0.1613  0.5000  5 Hg 2.97-3.12
Hg  0.5000  0.1613  0.8387  5 Hg 2.97-3.12
Hg  0.5000  0.5000  0.1613  5 Hg 2.97-3.12
Hg  0.5000  0.5000  0.8387  5 Hg 2.97-3.12
Hg  0.5000  0.8387  0.1613  5 Hg 2.97-3.12
Hg  0.5000  0.8387  0.5000  5 Hg 2.97-3.12
Hg  0.8387  0.1613  0.5000  5 Hg 2.97-3.12
Hg  0.8387  0.5000  0.1613  5 Hg 2.97-3.12
Hg  0.8387  0.5000  0.5000  5 Hg 2.97-3.12

SG: Fm-3m
DFT formation energy: 0.025 eV/atom
calculated total energy: -0.3282 eV/atom

---

Entry 5:
VASP calculation (PBE-GGA) on an optimized crystal structure of AcGaAu3.

a b c (Å): 6.7942 6.7942 5.8236
angles (deg): 90.00 90.00 120.00
Last column: nearest neighbours and their distance in Å.
Positions (direct):
Ac  0.3333  0.6667  0.2500  12 Au 3.35-3.41
Ac  0.6667  0.3333  0.7500  12 Au 3.35-3.41
Ga  0.0000  0.0000  0.0000  6 Au 2.69, 2 Ga 2.91
Ga  0.0000  0.0000  0.5000  6 Au 2.69, 2 Ga 2.91
Au  0.1923  0.3846  0.7500  2 Ga 2.69, 2 Au 2.87
Au  0.1923  0.8077  0.7500  2 Ga 2.69, 2 Au 2.87
Au  0.3846  0.1923  0.2500  2 Ga 2.69, 2 Au 2.87
Au  0.6154  0.8077  0.7500  2 Ga 2.69, 2 Au 2.87
Au  0.8077  0.1923  0.2500  2 Ga 2.69, 2 Au 2.87
Au  0.8077  0.6154  0.2500  2 Ga 2.69, 2 Au 2.87

SG: P6_3/mmc
DFT formation energy: -0.606 eV/atom
calculated total energy: -3.9994 eV/atom

---

Entry 6:
VASP calculation (PBE-GGA) on an optimized crystal structure of YZrCSe.

a b c (Å): 6.9036 6.9036 6.9036
angles (deg): 30.10 30.10 30.10
Last column: nearest neighbours and their distance in Å.
Positions (direct):
Y  0.0000  0.0000  0.0000  3 C 2.55
Zr  0.2024  0.2024  0.2024  3 C 2.35
C  0.5917  0.5917  0.5917  3 Zr 2.35, 3 Y 2.55
Se  0.7723  0.7723  0.7723  3 Zr 2.82, 3 Y 2.94

SG: R3m
formation energy (no corrections): -1.12 eV/atom
calculated total energy: -8.0543 eV/atom